[1]
Here is NaReTe2N after structural relaxation from Alexandria via LeMat-Bulk. Energies are from PBE.

Properties
energy relative to the lowest polymorph listed for this composition: 1938 meV per atom
total DFT energy (no corrections): -3.677 eV per atom
volume: 24.78 Å³ per atom
energy relative to the elements, uncorrected: 1998 meV per atom

Cell and atoms, written as POSCAR:
```
NaReTe2N
1.0
5.482 0.000 0.000
0.000 5.482 0.000
0.000 0.000 4.122
Na Re Te N
1 1 2 1
Direct
0.000 0.000 0.000 Na
0.500 0.500 0.500 Re
0.000 0.500 0.000 Te
0.500 0.000 0.000 Te
0.000 0.000 0.500 N
```

---

[2]
Here is NaReTe2N after structural relaxation from Alexandria via LeMat-Bulk. Energies are from PBE.

Properties
energy relative to the lowest polymorph listed for this composition: 0 meV per atom
total DFT energy (no corrections): -5.616 eV per atom
volume: 23.34 Å³ per atom
energy relative to the elements, uncorrected: 59 meV per atom

Cell and atoms, written as POSCAR:
```
NaReTe2N
1.0
5.572 0.000 0.000
0.000 5.572 0.000
0.000 0.000 3.759
Na Re Te N
1 1 2 1
Direct
0.000 0.000 0.000 Na
0.500 0.500 0.500 Re
0.000 0.500 0.500 Te
0.500 0.000 0.500 Te
0.500 0.500 0.000 N
```

---

[3]
Here is NaReTeN2 after structural relaxation from Alexandria via LeMat-Bulk. Energies are from PBE.

Properties
energy relative to the lowest polymorph listed for this composition: 0 meV per atom
total DFT energy (no corrections): -6.447 eV per atom
volume: 17.65 Å³ per atom
energy relative to the elements, uncorrected: 265 meV per atom

Cell and atoms, written as POSCAR:
```
NaReTeN2
1.0
3.929 0.000 0.000
0.000 3.929 0.000
0.000 0.000 5.716
Na Re Te N
1 1 1 2
Direct
0.000 0.000 0.000 Na
0.500 0.500 0.500 Re
0.500 0.500 0.000 Te
0.000 0.500 0.500 N
0.500 0.000 0.500 N
```

---

[4]
Here is Na2ThRe2N6 after structural relaxation from Alexandria via LeMat-Bulk. Energies are from PBE.

Properties
total DFT energy (no corrections): -8.161 eV per atom
volume: 18.10 Å³ per atom
energy relative to the elements, uncorrected: -442 meV per atom

Cell and atoms, written as POSCAR:
```
Na2ThRe2N6
1.0
5.258 -3.088 0.000
5.258 3.088 0.000
-4.003 0.000 6.132
Na Th Re N
2 1 2 6
Direct
0.205 0.205 0.128 Na
0.795 0.795 0.872 Na
0.000 0.000 0.500 Th
0.468 0.468 0.795 Re
0.532 0.532 0.205 Re
0.200 0.686 0.218 N
0.266 0.266 0.629 N
0.314 0.800 0.782 N
0.686 0.200 0.218 N
0.734 0.734 0.371 N
0.800 0.314 0.782 N
```